[1]
VASP calculation (PBEsol) on an optimized crystal structure of Ba2InAu.

Values from the calculation:
**SG**: R3m (160)
**Calculated formation energy**: -0.4786 eV/atom

Geometry as POSCAR:
```
Ba2InAu
1.0
4.868 0.000 0.000
2.434 4.216 0.000
2.434 1.405 7.996
Ba Au In
2 1 1
Direct
0.960 0.960 0.121
0.790 0.790 0.629
0.208 0.208 0.375
0.542 0.542 0.375
```

***

[2]
VASP calculation (PBEsol) on an optimized crystal structure of BaIn2Au2.

Values from the calculation:
**SG**: Pnma (62)
**Calculated formation energy**: -0.5601 eV/atom

Geometry as POSCAR:
```
BaIn2Au2
1.0
-1.862 -1.994 3.835
1.257 -7.921 -3.508
11.180 -0.511 5.161
Ba Au In
4 8 8
Direct
0.750 0.721 0.666
0.750 0.221 0.834
0.250 0.279 0.334
0.250 0.779 0.166
0.750 0.471 0.163
0.250 0.529 0.837
0.250 0.089 0.022
0.750 0.971 0.337
0.250 0.589 0.478
0.750 0.911 0.978
0.750 0.411 0.522
0.250 0.029 0.663
0.750 0.140 0.143
0.250 0.897 0.451
0.750 0.103 0.549
0.250 0.360 0.643
0.250 0.860 0.857
0.250 0.397 0.049
0.750 0.603 0.951
0.750 0.640 0.357
```